Record 1
## NaTmV2O6 (PBE+U)

Data for crystalline NaTmV2O6 at its relaxed geometry.

Structure (POSCAR):
```
NaTmV2O6
1.0
6.034 -0.098 -0.102
1.813 6.911 0.198
1.813 -0.059 6.914
Na Tm V O
2 2 4 12
Cartesian
3.322 1.968 4.912
6.339 4.786 2.098
3.322 6.255 0.781
6.339 0.500 6.228
4.047 5.425 4.350
2.596 2.657 1.478
5.613 1.329 2.659
7.064 4.097 5.532
4.032 6.640 5.741
2.611 1.312 0.212
5.628 0.114 1.268
7.049 5.442 6.797
4.269 6.113 2.749
2.374 4.283 0.850
5.391 0.642 4.260
7.287 2.472 6.159
2.516 4.445 4.544
4.127 2.427 2.450
7.144 2.309 2.466
5.533 4.327 4.559
```

Calculated values
For the volume, the calculation gives 14.54 Å³ per atom. As for the calculated density: 4.45 g cm⁻³. The space group is C2/c (15). The value obtained for the total DFT energy (no corrections) is -7.421 eV per atom.

=====

Record 2
## Na4Tm3VO8 (PBE+U)

Data for crystalline Na4Tm3VO8 at its relaxed geometry.

Structure (POSCAR):
```
Na4Tm3VO8
1.0
-0.177 -5.901 2.920
-1.006 -2.920 -5.963
5.219 3.930 0.831
Na Tm V O
4 3 1 8
Cartesian
-0.089 -2.951 1.460
2.521 -0.985 1.876
0.000 0.000 0.000
2.609 1.965 0.416
-0.591 -4.411 -1.522
2.018 -2.446 -1.106
2.107 0.505 -2.566
-0.503 -1.460 -2.982
4.352 0.430 -2.733
1.633 -1.615 -3.165
2.411 -0.331 -0.524
4.260 -2.641 -1.213
-0.223 -2.251 -0.999
1.625 -4.560 -1.688
2.403 -3.276 0.953
-0.316 -5.321 0.520
```

Calculated values
For the volume, the calculation gives 13.00 Å³ per atom. As for the calculated density: 6.21 g cm⁻³. The space group is R-3m (166). The value obtained for the total DFT energy (no corrections) is -6.729 eV per atom.

=====

Record 3
## NaTm2WO6 (PBE+U)

Data for crystalline NaTm2WO6 at its relaxed geometry.

Structure (POSCAR):
```
NaTm2WO6
1.0
5.632 -0.023 0.043
2.796 4.832 0.043
2.846 1.624 5.054
Na Tm W O
1 2 1 6
Cartesian
8.437 4.797 3.130
5.637 3.180 2.200
2.806 1.641 4.806
2.814 1.593 0.205
4.598 1.519 1.209
4.695 4.999 1.203
7.643 3.178 1.247
6.299 4.591 3.961
6.535 1.949 3.885
4.096 3.118 3.903
```

Calculated values
For the volume, the calculation gives 13.71 Å³ per atom. As for the calculated density: 7.76 g cm⁻³. The space group is P1 (1). The value obtained for the total DFT energy (no corrections) is -7.537 eV per atom.

=====

Record 4
## NaTmW2O8 (PBE+U)

Data for crystalline NaTmW2O8 at its relaxed geometry.

Structure (POSCAR):
```
NaTmW2O8
1.0
6.166 0.044 0.000
-2.695 5.546 0.000
-1.736 -2.795 5.215
Na Tm W O
1 1 2 8
Cartesian
0.000 0.000 0.000
-1.348 2.773 2.608
3.083 0.022 2.608
1.736 2.795 0.000
1.631 -0.472 1.635
0.293 2.461 1.049
0.340 -1.441 4.167
3.284 -1.499 3.580
3.178 3.130 1.049
4.535 0.516 1.635
2.882 1.543 3.580
-0.340 1.441 4.167
```

Calculated values
For the volume, the calculation gives 14.92 Å³ per atom. As for the calculated density: 6.38 g cm⁻³. The space group is I-4m2 (119). The value obtained for the total DFT energy (no corrections) is -7.299 eV per atom.

=====

- Which value of calculated density does entry 1 give?
  4.45 g cm⁻³

=====

- Among the records above, which one has the highest total DFT energy (no corrections)?
  Na4Tm3VO8

=====

- total DFT energy (no corrections) of number 4 (NaTmW2O8)?
  -7.299 eV per atom